A plane-wave DFT calculation with PBE-GGA was carried out for a geometry-optimized Pr3Ge5Ir6 structure.

## Properties
Final energy (eV per formula unit): -100.78

Lattice parameters (Å, degrees): 4.156 12.733 10.094 90.00 90.00 90.00
Space group Pmmn (No. 59, origin choice 2)
One atom of each set of equivalent atoms:
1 Pr 0.250 0.091 0.246 (multiplicity 4)
2 Pr 0.250 0.750 0.245 (multiplicity 2)
3 Ge 0.250 0.077 0.648 (multiplicity 4)
4 Ge 0.250 0.628 0.985 (multiplicity 4)
5 Ge 0.250 0.750 0.618 (multiplicity 2)
6 Ir 0.250 0.050 0.896 (multiplicity 4)
7 Ir 0.250 0.250 0.001 (multiplicity 2)
8 Ir 0.250 0.250 0.519 (multiplicity 2)
9 Ir 0.250 0.581 0.491 (multiplicity 4)